PBEsol SrTa2Rh, relaxed; energy above the lowest structure with this stoichiometry = 0.00 eV/f.u.; energy of formation from the pure elements = 0.322 eV/atom; space group = C2/m
1.0
2.948 0.000 0.000
0.000 5.048 -0.030
-1.474 -2.013 5.470
Sr Ta Rh
1 2 1
Direct
0.000 0.500 0.000
0.793 0.809 0.586
0.207 0.191 0.414
0.500 0.000 0.000

PBEsol SrTa2Rh, relaxed; energy above the lowest structure with this stoichiometry = 0.44 eV/f.u.; energy of formation from the pure elements = 0.431 eV/atom; space group = Cm
1.0
2.988 0.000 0.000
-1.494 4.966 0.016
0.000 -1.334 5.882
Ta Rh Sr
2 1 1
Direct
0.031 0.063 0.106
0.766 0.531 0.239
0.471 0.941 0.436
0.232 0.465 0.719

PBEsol SrTaRh2, relaxed; energy above the lowest structure with this stoichiometry = 1.11 eV/f.u.; energy of formation from the pure elements = -0.040 eV/atom; space group = C2/m
1.0
3.126 0.000 0.000
-1.563 3.667 0.131
0.000 -1.180 7.070
Rh Sr Ta
2 1 1
Direct
0.262 0.524 0.312
0.738 0.476 0.688
0.500 0.000 0.000
0.000 0.000 0.500